# 1
Density functional theory data (SCAN) for a PBEsol-optimized structure of CsCa3I.

Cell and atoms, written as POSCAR:
```
CsCa3I
1.0
-4.071 0.262 4.824
3.750 -3.805 3.372
3.045 5.036 2.296
Cs I Ca
1 1 3
direct
0.500 0.500 0.500 Cs
0.000 0.000 0.000 I
0.000 0.500 0.000 Ca
0.000 0.000 0.500 Ca
0.500 0.000 0.000 Ca
```

Computed properties:
The total energy is -20.67 eV per atom. The value obtained for the formation energy (no corrections) is 0.04 eV per atom. As for the symmetry: Pm-3m, No. 221.


# 2
Density functional theory data (SCAN) for a PBEsol-optimized structure of CsLiCaIn2.

Cell and atoms, written as POSCAR:
```
CsLiCaIn2
1.0
-0.861 4.986 1.431
-4.765 -0.187 -2.217
-2.205 -1.784 4.890
Cs Ca Li In
1 1 1 2
direct
0.500 0.500 0.500 Cs
0.000 0.000 0.500 Ca
0.000 0.000 0.000 Li
0.000 0.500 0.000 In
0.500 0.000 0.000 In
```

Computed properties:
The total energy is -23.33 eV per atom. Its formation energy is -4 meV per atom. As for the symmetry: P4/mmm, No. 123.


# 3
Density functional theory data (SCAN) for a PBEsol-optimized structure of CsCa3Ir.

Cell and atoms, written as POSCAR:
```
CsCa3Ir
1.0
5.429 0.000 0.000
0.000 5.429 0.000
0.000 0.000 5.429
Cs Ca Ir
1 3 1
direct
0.000 0.000 0.000 Cs
0.000 0.500 0.000 Ca
0.000 0.000 0.500 Ca
0.500 0.000 0.000 Ca
0.500 0.500 0.500 Ir
```

Computed properties:
The total energy is -25.73 eV per atom. Its formation energy is 1850 meV per atom. As for the symmetry: Pm-3m, No. 221.


# 4
Density functional theory data (SCAN) for a PBEsol-optimized structure of CsCaIr2.

Cell and atoms, written as POSCAR:
```
CsCaIr2
1.0
4.948 0.000 0.000
2.474 4.285 0.000
2.474 1.428 4.040
Cs Ca Ir
1 1 2
direct
0.500 0.500 0.500 Cs
0.000 0.000 0.000 Ca
0.250 0.250 0.250 Ir
0.750 0.750 0.750 Ir
```

Computed properties:
The total energy is -46.19 eV per atom. Its formation energy is 1231 meV per atom. As for the symmetry: Fm-3m, No. 225.


# 5
Density functional theory data (SCAN) for a PBEsol-optimized structure of CsCaMoIr2.

Cell and atoms, written as POSCAR:
```
CsCaMoIr2
1.0
4.976 0.000 0.000
0.000 4.976 0.000
0.000 0.000 5.184
Cs Mo Ir Ca
1 1 2 1
direct
0.000 0.000 0.000 Cs
0.500 0.500 0.500 Mo
0.000 0.500 0.000 Ir
0.500 0.000 0.000 Ir
0.000 0.000 0.500 Ca
```

Computed properties:
The total energy is -42.26 eV per atom. Its formation energy is 2650 meV per atom. As for the symmetry: P4/mmm, No. 123.


# 6
Density functional theory data (SCAN) for a PBEsol-optimized structure of CsNa2LiCa.

Cell and atoms, written as POSCAR:
```
CsNa2LiCa
1.0
-2.086 5.574 1.532
-5.777 -2.068 -0.345
0.205 -1.577 6.018
Cs Na Ca Li
1 2 1 1
direct
0.500 0.500 0.500 Cs
0.000 0.500 0.000 Na
0.500 0.000 0.000 Na
0.000 0.000 0.500 Ca
0.000 0.000 0.000 Li
```

Computed properties:
The total energy is -11.47 eV per atom. Its formation energy is 189 meV per atom. As for the symmetry: P4/mmm, No. 123.


# 7
Density functional theory data (SCAN) for a PBEsol-optimized structure of CsCaMg3.

Cell and atoms, written as POSCAR:
```
CsCaMg3
1.0
6.271 0.000 0.000
0.000 6.271 0.000
0.000 0.000 6.271
Cs Ca Mg
1 1 3
direct
0.500 0.500 0.500 Cs
0.000 0.000 0.000 Ca
0.000 0.500 0.000 Mg
0.000 0.000 0.500 Mg
0.500 0.000 0.000 Mg
```

Computed properties:
The total energy is -11.91 eV per atom. Its formation energy is 566 meV per atom. As for the symmetry: Pm-3m, No. 221.


# 8
Density functional theory data (SCAN) for a PBEsol-optimized structure of CsCaMo3.

Cell and atoms, written as POSCAR:
```
CsCaMo3
1.0
4.924 0.000 0.000
0.000 4.924 0.000
0.000 0.000 4.924
Cs Mo Ca
1 3 1
direct
0.000 0.000 0.000 Cs
0.000 0.500 0.000 Mo
0.000 0.000 0.500 Mo
0.500 0.000 0.000 Mo
0.500 0.500 0.500 Ca
```

Computed properties:
The total energy is -27.59 eV per atom. Its formation energy is 2832 meV per atom. As for the symmetry: Pm-3m, No. 221.


# 9
Density functional theory data (SCAN) for a PBEsol-optimized structure of CsCaN2.

Cell and atoms, written as POSCAR:
```
CsCaN2
1.0
-2.644 2.449 0.986
-3.477 -0.373 -1.317
-3.644 -3.186 5.221
Cs Ca N
1 1 2
direct
0.000 0.000 0.000 Cs
0.500 0.500 0.500 Ca
0.892 0.892 0.323 N
0.108 0.108 0.677 N
```

Computed properties:
The total energy is -15.83 eV per atom. The value obtained for the formation energy (no corrections) is 0.68 eV per atom. Its excess energy over the best structure of this formula in the dataset is 14 meV/atom. As for the symmetry: R-3m, No. 166.


# 10
Density functional theory data (SCAN) for a PBEsol-optimized structure of Cs3CaN.

Cell and atoms, written as POSCAR:
```
Cs3CaN
1.0
-8.088 0.909 -1.721
-1.917 -2.459 7.712
0.334 7.895 2.600
Cs Ca N
3 1 1
direct
0.000 0.500 0.000 Cs
0.000 0.000 0.500 Cs
0.500 0.000 0.000 Cs
0.000 0.000 0.000 Ca
0.500 0.500 0.500 N
```

Computed properties:
The total energy is -25.24 eV per atom. The value obtained for the formation energy (no corrections) is 1.23 eV per atom. As for the symmetry: Pm-3m, No. 221.


# 11
Density functional theory data (SCAN) for a PBEsol-optimized structure of CsCaN2.

Cell and atoms, written as POSCAR:
```
CsCaN2
1.0
4.797 0.000 0.000
0.000 4.797 0.000
-2.398 -2.398 7.730
Cs Ca N
2 2 4
direct
0.000 0.000 0.000 Cs
0.250 0.750 0.500 Cs
0.500 0.500 0.000 Ca
0.750 0.250 0.500 Ca
0.625 0.375 0.750 N
0.125 0.375 0.750 N
0.625 0.875 0.250 N
0.625 0.375 0.250 N
```

Computed properties:
The total energy is -15.85 eV per atom. The value obtained for the formation energy (no corrections) is 0.67 eV per atom. Its excess energy over the best structure of this formula in the dataset is 0 meV/atom. As for the symmetry: I4_1/amd, No. 141.


# 12
Density functional theory data (SCAN) for a PBEsol-optimized structure of CsCaNO2.

Cell and atoms, written as POSCAR:
```
CsCaNO2
1.0
4.531 0.000 0.000
0.000 4.531 0.000
0.000 0.000 4.870
Cs Ca O N
1 1 2 1
direct
0.500 0.500 0.500 Cs
0.000 0.000 0.000 Ca
0.000 0.500 0.000 O
0.500 0.000 0.000 O
0.000 0.000 0.500 N
```

Computed properties:
The total energy is -14.42 eV per atom. The value obtained for the formation energy (no corrections) is -0.58 eV per atom. As for the symmetry: P4/mmm, No. 123.


# 13
Density functional theory data (SCAN) for a PBEsol-optimized structure of CsNa3Ca.

Cell and atoms, written as POSCAR:
```
CsNa3Ca
1.0
-5.045 1.685 -3.596
-3.643 0.348 5.275
1.580 6.186 0.683
Cs Na Ca
1 3 1
direct
0.000 0.000 0.000 Cs
0.000 0.500 0.000 Na
0.000 0.000 0.500 Na
0.500 0.000 0.000 Na
0.500 0.500 0.500 Ca
```

Computed properties:
The total energy is -11.48 eV per atom. Its formation energy is 548 meV per atom. As for the symmetry: Pm-3m, No. 221.


# 14
Density functional theory data (SCAN) for a PBEsol-optimized structure of Cs2CaNb.

Cell and atoms, written as POSCAR:
```
Cs2CaNb
1.0
-3.812 5.062 -1.242
-6.394 -0.801 -0.426
-3.862 2.343 4.615
Cs Nb Ca
2 1 1
direct
0.250 0.250 0.250 Cs
0.750 0.750 0.750 Cs
0.500 0.500 0.500 Nb
0.000 0.000 0.000 Ca
```

Computed properties:
The total energy is -28.36 eV per atom. Its formation energy is 1245 meV per atom. As for the symmetry: Fm-3m, No. 225.


# 15
Density functional theory data (SCAN) for a PBEsol-optimized structure of CsCaO3.

Cell and atoms, written as POSCAR:
```
CsCaO3
1.0
4.475 0.000 0.000
0.000 4.475 0.000
0.000 0.000 4.475
Cs Ca O
1 1 3
direct
0.000 0.000 0.000 Cs
0.500 0.500 0.500 Ca
0.000 0.500 0.000 O
0.000 0.000 0.500 O
0.500 0.000 0.000 O
```

Computed properties:
The total energy is -13.66 eV per atom. The value obtained for the formation energy (no corrections) is -0.42 eV per atom. As for the symmetry: Pm-3m, No. 221.